# 1
Entry from Alexandria via LeMat-Bulk: a geometry-optimized MgInRe structure (PBE).

Summary:
density: 10.0 g/cm³
final energy: -15.5 eV per cell
E_form: 0.419 eV/atom
total magnetic moment: 0.00 μB/atom
polymorph energy (0 for the lowest one): 0 kJ/mol of formula units

a = 5.1085 Å, b = 5.1085 Å, c = 5.1085 Å
α = 148.04°, β = 129.73°, γ = 60.82°
Atoms (fractional coordinates):
In  0.0038  0.0038  0.0000
Re  0.6702  0.6702  0.0000
Mg  0.3260  0.3260  0.0000

=====

# 2
Entry from Alexandria via LeMat-Bulk: a geometry-optimized K2MnTe structure (PBE).

Summary:
ΔE_f (raw): 0.2 eV/f.u.
density: 3.2 g/cm³
final energy: -14.3 eV per cell
total magnetic moment: 1.07 μB/atom

a = 4.6660 Å, b = 4.6564 Å, c = 7.8225 Å
α = 53.50°, β = 90.00°, γ = 90.00°
Site moments in Bohr magnetons follow the coordinates.
Atoms (fractional coordinates):
K  0.0000  0.4899  0.5105  -0.01
K  0.0000  0.0101  0.9895  -0.01
Te  0.5000  0.7500  0.7500  -0.02
Mn  0.5000  0.2500  0.2500  4.13

=====

no.,N(E_F) (states/eV per cell)
1,1.75
2,2.69